one | 4
Lattice="4.798 0.000 0.000 2.399 4.156 0.000 2.399 1.385 3.918" Properties=species:S:1:pos:R:3 comment="Zn2SiPb, optimized geometry, DFT PBEsol" n_ef_per_ev_cell=1.5 m_tot_mub_per_cell=0.0 pbc="T T T"
Pb 4.798 2.770 1.959
Si 2.399 1.385 0.979
Zn 0.000 0.000 0.000
Zn 7.198 4.156 2.938

two | 4
Lattice="2.984 0.000 0.000 0.000 3.763 0.000 0.000 0.000 6.792" Properties=species:S:1:pos:R:3 comment="Zn2SiPb, optimized geometry, DFT PBEsol" n_ef_per_ev_cell=1.5 m_tot_mub_per_cell=0.0 pbc="T T T"
Pb 0.000 0.000 3.336
Si 1.492 1.881 5.583
Zn 0.000 0.000 6.714
Zn 1.492 1.881 1.345

Question: which arrangement is favored energetically? Ranking from most to least stable: two, one.

one | 4
Lattice="3.118 0.000 -0.002 0.000 4.820 0.000 -1.375 0.000 5.672" Properties=species:S:1:pos:R:3 comment="TaPb, optimized geometry, DFT PBEsol" n_ef_per_ev_cell=2.1 m_tot_mub_per_cell=0.0 pbc="T T T"
Pb 1.667 3.615 3.734
Pb 0.076 1.205 1.935
Ta 1.892 3.615 0.687
Ta -0.149 1.205 4.983

two | 4
Lattice="-4.295 0.381 2.200 2.900 -3.749 0.985 2.360 2.904 4.105" Properties=species:S:1:pos:R:3 comment="TaPb, optimized geometry, DFT PBEsol" n_ef_per_ev_cell=4.8 m_tot_mub_per_cell=0.0 pbc="T T T"
Pb -1.307 -0.270 2.821
Pb 2.271 -0.195 4.468
Ta -0.127 1.182 4.873
Ta 1.091 -1.646 2.416

Question: which arrangement is favored energetically? Ranking from most to least stable: one, two.

one | 4
Lattice="-1.358 2.882 -0.711 -4.063 -2.487 -2.317 -0.175 -0.588 5.442" Properties=species:S:1:pos:R:3 comment="TaTcPb2, optimized geometry, DFT PBEsol" n_ef_per_ev_cell=2.6 m_tot_mub_per_cell=0.0 pbc="T T T"
Pb -0.286 -0.116 0.077
Pb -3.248 -1.348 0.743
Ta -2.864 -0.488 3.490
Tc -2.084 1.368 2.031

two | 4
Lattice="-3.909 1.505 0.419 -0.898 -3.089 2.716 3.750 3.355 1.793" Properties=species:S:1:pos:R:3 comment="TaTcPb2, optimized geometry, DFT PBEsol" n_ef_per_ev_cell=2.7 m_tot_mub_per_cell=0.0 pbc="T T T"
Pb 0.000 0.000 0.000
Pb -1.282 2.034 1.890
Ta -2.404 -0.792 1.567
Tc 0.224 -0.263 3.038

Question: which arrangement is favored energetically? Ranking from most to least stable: one, two.

one | 4
Lattice="3.311 0.000 0.000 0.000 5.372 0.000 -1.656 -2.686 4.716" Properties=species:S:1:pos:R:3 comment="Ta2TePb, optimized geometry, DFT PBEsol" n_ef_per_ev_cell=3.0 m_tot_mub_per_cell=0.0 pbc="T T T"
Pb 0.000 2.686 0.000
Ta 1.656 2.686 2.462
Ta 0.000 0.000 2.254
Te 1.656 0.000 0.000

two | 4
Lattice="3.294 0.000 0.000 1.647 2.853 0.000 1.647 0.951 10.024" Properties=species:S:1:pos:R:3 comment="Ta2TePb, optimized geometry, DFT PBEsol" n_ef_per_ev_cell=2.7 m_tot_mub_per_cell=0.0 pbc="T T T"
Pb 1.647 0.951 2.140
Ta 1.647 0.951 9.667
Ta 4.941 2.853 7.656
Te 3.294 1.902 5.597

Question: which arrangement is favored energetically? Ranking from most to least stable: two, one.

one | 4
Lattice="3.277 0.000 0.000 0.000 4.629 0.000 0.000 0.000 4.629" Properties=species:S:1:pos:R:3 comment="Tc2TePb, optimized geometry, DFT PBEsol" n_ef_per_ev_cell=4.0 m_tot_mub_per_cell=0.0 pbc="T T T"
Pb 1.638 0.000 0.000
Tc 0.000 0.000 2.315
Tc 0.000 2.315 0.000
Te 1.638 2.315 2.315

two | 4
Lattice="3.270 0.000 0.000 0.000 3.991 0.000 -1.635 -1.995 5.836" Properties=species:S:1:pos:R:3 comment="Tc2TePb, optimized geometry, DFT PBEsol" n_ef_per_ev_cell=4.5 m_tot_mub_per_cell=0.0 pbc="T T T"
Pb 1.635 0.000 3.381
Tc 1.635 1.995 5.394
Tc 0.000 1.995 2.463
Te 1.635 1.995 0.433

three | 4
Lattice="-2.888 1.478 -0.173 -1.374 -2.504 1.549 1.169 2.964 5.829" Properties=species:S:1:pos:R:3 comment="Tc2TePb, optimized geometry, DFT PBEsol" n_ef_per_ev_cell=3.4 m_tot_mub_per_cell=0.0 pbc="T T T"
Pb -1.546 0.969 3.603
Tc 0.896 2.273 4.469
Tc 0.273 0.692 1.360
Te -2.131 -0.513 0.688

Question: which arrangement is favored energetically? Ranking from most to least stable: three, one, two.

one | 4
Lattice="3.059 -0.003 -0.005 -1.385 5.236 -0.013 -1.385 -2.419 4.644" Properties=species:S:1:pos:R:3 comment="TlTc2Pb, optimized geometry, DFT PBEsol" n_ef_per_ev_cell=5.0 m_tot_mub_per_cell=0.0 pbc="T T T"
Pb 1.530 -0.001 -0.002
Tc -0.692 -1.209 2.322
Tc -0.692 2.618 -0.007
Tl 0.145 1.407 2.313

two | 4
Lattice="-2.377 0.068 3.264 1.915 -3.241 1.462 3.135 4.232 -0.304" Properties=species:S:1:pos:R:3 comment="TlTc2Pb, optimized geometry, DFT PBEsol" n_ef_per_ev_cell=5.1 m_tot_mub_per_cell=0.0 pbc="T T T"
Pb 2.410 -0.298 1.761
Tc 0.000 0.000 0.000
Tc 0.264 1.357 2.662
Tl -0.231 -1.586 2.363

Question: which arrangement is favored energetically? Ranking from most to least stable: one, two.

one | 4
Lattice="-0.193 -0.188 -3.277 -1.449 -4.413 0.338 -4.418 1.464 0.176" Properties=species:S:1:pos:R:3 comment="TlTc2Pb, optimized geometry, DFT PBEsol" n_ef_per_ev_cell=4.4 m_tot_mub_per_cell=1.8 pbc="T T T"
Pb -0.097 -0.094 -1.639
Tc -2.209 0.732 0.088
Tc -0.724 -2.207 0.169
Tl -3.030 -1.568 -1.381

two | 4
Lattice="-1.701 1.420 2.280 2.650 -1.841 3.125 3.140 4.131 -0.229" Properties=species:S:1:pos:R:3 comment="TlTc2Pb, optimized geometry, DFT PBEsol" n_ef_per_ev_cell=5.2 m_tot_mub_per_cell=0.0 pbc="T T T"
Pb 2.895 1.145 1.448
Tc 0.000 0.000 0.000
Tc 0.719 2.776 1.025
Tl 0.474 -0.210 2.702

three | 4
Lattice="3.038 0.000 0.000 0.000 3.038 0.000 0.000 0.000 8.669" Properties=species:S:1:pos:R:3 comment="TlTc2Pb, optimized geometry, DFT PBEsol" n_ef_per_ev_cell=2.4 m_tot_mub_per_cell=0.0 pbc="T T T"
Pb 1.519 1.519 6.912
Tc 0.000 0.000 0.424
Tc 1.519 1.519 1.772
Tl 0.000 0.000 3.895

four | 4
Lattice="-3.040 0.475 -0.614 -1.872 -4.369 -2.127 -2.892 -3.361 3.702" Properties=species:S:1:pos:R:3 comment="TlTc2Pb, optimized geometry, DFT PBEsol" n_ef_per_ev_cell=2.1 m_tot_mub_per_cell=0.0 pbc="T T T"
Pb -5.935 -5.703 0.925
Tc -5.937 -3.487 2.651
Tc -1.959 -1.232 0.730
Tl -3.806 -3.346 0.222

Question: which arrangement is favored energetically? Ranking from most to least stable: three, four, one, two.

one | 4
Lattice="3.612 0.000 0.000 0.000 4.739 0.000 -1.806 0.000 5.341" Properties=species:S:1:pos:R:3 comment="TlTcPb2, optimized geometry, DFT PBEsol" n_ef_per_ev_cell=2.8 m_tot_mub_per_cell=0.0 pbc="T T T"
Pb 0.000 0.000 0.991
Pb 0.000 2.370 4.290
Tc 1.806 0.000 3.400
Tl 1.806 2.370 1.874

two | 4
Lattice="-1.075 0.078 3.135 -2.396 -2.159 -0.768 5.298 -6.558 1.980" Properties=species:S:1:pos:R:3 comment="TlTcPb2, optimized geometry, DFT PBEsol" n_ef_per_ev_cell=2.6 m_tot_mub_per_cell=0.0 pbc="T T T"
Pb 3.671 -4.548 1.372
Pb -0.769 -4.169 -0.160
Tc 0.914 -4.319 2.173
Tl -1.735 -1.040 1.184

Question: which arrangement is favored energetically? Ranking from most to least stable: two, one.

one | 4
Lattice="-3.951 -0.551 -0.288 0.408 -3.695 1.476 1.299 3.561 3.135" Properties=species:S:1:pos:R:3 comment="ZnTc2Pb, optimized geometry, DFT PBEsol" n_ef_per_ev_cell=5.4 m_tot_mub_per_cell=1.9 pbc="T T T"
Pb 0.000 0.000 0.000
Tc -2.212 0.443 1.720
Tc -0.032 -1.129 2.603
Zn -1.772 -2.123 0.594

two | 4
Lattice="-0.536 2.937 -0.034 -0.938 -1.737 -4.213 -4.435 -0.782 2.354" Properties=species:S:1:pos:R:3 comment="ZnTc2Pb, optimized geometry, DFT PBEsol" n_ef_per_ev_cell=3.5 m_tot_mub_per_cell=0.0 pbc="T T T"
Pb -2.217 -0.391 1.177
Tc -4.402 0.711 -0.309
Tc -1.507 -0.293 -1.583
Zn -0.268 1.469 -0.017

three | 4
Lattice="2.878 0.016 0.000 -1.118 2.652 0.000 0.000 0.000 8.615" Properties=species:S:1:pos:R:3 comment="ZnTc2Pb, optimized geometry, DFT PBEsol" n_ef_per_ev_cell=4.9 m_tot_mub_per_cell=0.0 pbc="T T T"
Pb 0.880 1.334 0.000
Tc 0.000 0.000 2.287
Tc 0.000 0.000 6.328
Zn 0.880 1.334 4.307

four | 4
Lattice="-0.755 1.274 2.592 -1.285 -4.146 1.663 4.755 0.740 1.021" Properties=species:S:1:pos:R:3 comment="ZnTc2Pb, optimized geometry, DFT PBEsol" n_ef_per_ev_cell=3.8 m_tot_mub_per_cell=0.0 pbc="T T T"
Pb 1.735 -1.703 1.342
Tc 0.000 0.000 0.000
Tc 2.000 1.007 1.807
Zn -1.020 -1.436 2.127

Question: which arrangement is favored energetically? Ranking from most to least stable: two, four, one, three.

one | 4
Lattice="3.244 0.027 0.000 -0.029 3.244 0.000 0.000 0.000 7.789" Properties=species:S:1:pos:R:3 comment="Zr2TcPb, optimized geometry, DFT PBEsol" n_ef_per_ev_cell=2.6 m_tot_mub_per_cell=0.0 pbc="T T T"
Pb 1.608 1.636 3.894
Tc 1.608 1.636 0.000
Zr 0.000 0.000 1.568
Zr 0.000 0.000 6.221

two | 4
Lattice="-3.336 1.665 -0.739 -0.681 -3.027 -3.746 0.040 -2.106 4.852" Properties=species:S:1:pos:R:3 comment="Zr2TcPb, optimized geometry, DFT PBEsol" n_ef_per_ev_cell=3.0 m_tot_mub_per_cell=0.0 pbc="T T T"
Pb -0.340 -1.513 -1.873
Tc -1.668 0.832 -0.369
Zr -3.118 -2.252 -0.771
Zr -0.859 -1.216 1.139

Question: which arrangement is favored energetically? Ranking from most to least stable: one, two.

one | 3
Lattice="3.292 0.000 0.000 -1.646 2.851 0.000 0.000 0.000 7.976" Properties=species:S:1:pos:R:3 comment="TePbW, optimized geometry, DFT PBEsol" n_ef_per_ev_cell=1.3 m_tot_mub_per_cell=0.0 pbc="T T T"
Pb 0.000 0.000 0.445
Te 0.000 1.900 4.703
W 1.646 0.950 2.828

two | 3
Lattice="-4.066 -1.791 -1.868 -0.860 -4.738 0.196 -3.442 -1.706 2.910" Properties=species:S:1:pos:R:3 comment="TePbW, optimized geometry, DFT PBEsol" n_ef_per_ev_cell=3.0 m_tot_mub_per_cell=0.0 pbc="T T T"
Pb -6.276 -6.176 0.929
Te 0.000 0.000 0.000
W -4.184 -4.117 0.619

Question: which arrangement is favored energetically? Ranking from most to least stable: one, two.

one | 4
Lattice="-0.403 -3.441 1.191 3.083 -0.579 -1.893 4.336 1.751 6.526" Properties=species:S:1:pos:R:3 comment="Y2TePb, optimized geometry, DFT PBEsol" n_ef_per_ev_cell=3.6 m_tot_mub_per_cell=0.0 pbc="T T T"
Pb 3.508 -1.135 2.912
Te 1.340 -2.010 -0.351
Y 1.045 0.422 1.573
Y 3.291 1.329 4.953

two | 4
Lattice="4.352 0.000 0.000 -2.176 3.765 -0.032 0.000 -2.457 7.134" Properties=species:S:1:pos:R:3 comment="Y2TePb, optimized geometry, DFT PBEsol" n_ef_per_ev_cell=1.0 m_tot_mub_per_cell=0.0 pbc="T T T"
Pb 0.000 -1.228 3.567
Y 2.176 0.040 5.273
Y 0.000 1.269 1.828
Te 2.176 0.000 0.000

Question: which arrangement is favored energetically? Ranking from most to least stable: two, one.